# Pr5DyTl8, optimized geometry, DFT PBE-GGA
# Final energy in eV/atom: -3.69
# Calculated formation energy in eV per atom: -0.3007
# Density in Mg/m³: 9.60
data_Pr5DyTl8
_symmetry_space_group_name_H-M 'I -4'
_symmetry_Int_Tables_number 82
_cell_length_a 9.581
_cell_length_b 9.581
_cell_length_c 9.428
_cell_angle_alpha 90.00
_cell_angle_beta 90.00
_cell_angle_gamma 90.00
loop_
_symmetry_equiv_pos_as_xyz
'x,y,z'
'y,-x,-z'
'-x,-y,z'
'-y,x,-z'
'x+1/2,y+1/2,z+1/2'
'y+1/2,-x+1/2,-z+1/2'
'-x+1/2,-y+1/2,z+1/2'
'-y+1/2,x+1/2,-z+1/2'
loop_
_atom_site_label
_atom_site_fract_x
_atom_site_fract_y
_atom_site_fract_z
Pr1 0.000 0.000 0.000
Pr2 0.119 0.243 0.627
Dy1 0.000 0.500 0.250
Tl1 0.076 0.334 0.964
Tl2 0.087 0.179 0.288